An optimized crystal structure of PuAlSn2, computed with PBE-GGA.

POSCAR file:
```
PuAlSn2
1.0
-4.3717 0.5676 0.8216
0.1146 -3.4372 2.9841
1.0074 2.9301 3.3363
Sn Pu Al
2 1 1
Cartesian
0.5037 1.4651 1.6682
0.0573 -1.7186 1.4920
-2.1858 0.2838 0.4108
-1.6248 0.0303 3.5710
```

An optimized crystal structure of PuAlSn2, computed with PBE-GGA.

POSCAR file:
```
PuAlSn2
1.0
-2.7278 3.1584 -2.3279
-1.4826 -0.9411 -4.4443
-5.5495 -1.4766 -0.4051
Pu Sn Al
1 2 1
Cartesian
-4.8800 0.3703 -3.5887
-7.6062 0.4025 -5.2551
-2.1538 0.3381 -1.9222
0.0000 0.0000 0.0000
```

An optimized crystal structure of PuAlSn2, computed with PBE-GGA.

POSCAR file:
```
PuAlSn2
1.0
-1.6682 -0.8322 -3.2844
-2.8598 -1.6175 1.8623
-3.2421 5.9055 0.1505
Sn Pu Al
2 1 1
Cartesian
-0.7070 1.2879 0.0328
-2.5350 4.6176 0.1176
-3.8850 1.7279 -0.6358
-2.2640 -1.2248 -0.7110
```

An optimized crystal structure of Pu6AlSn2, computed with PBE-GGA.

POSCAR file:
```
Pu6AlSn2
1.0
-0.0342 2.6275 -1.8877
-8.8938 0.3248 0.6131
5.0422 4.3370 5.9454
Pu Al Sn
6 1 2
Cartesian
-0.9324 5.8683 5.4122
1.6476 2.7456 1.0190
-2.5971 4.4365 3.4493
-1.2887 2.8528 1.2214
-2.9533 1.4210 -0.7415
3.3604 4.2189 3.0387
5.0422 4.3370 5.9454
0.3969 2.9996 4.1679
-4.2485 1.6622 2.3905
```

An optimized crystal structure of TbPuAlSn, computed with PBE-GGA.

POSCAR file:
```
TbPuAlSn
1.0
5.2275 0.0000 0.0000
2.6138 4.5272 0.0000
2.6138 1.5091 4.2683
Sn Al Pu Tb
1 1 1 1
Cartesian
2.6138 1.5091 1.0671
7.8413 4.5272 3.2012
0.0000 0.0000 0.0000
5.2275 3.0181 2.1341
```

An optimized crystal structure of SrPu2Al9, computed with PBE-GGA.

POSCAR file:
```
SrPu2Al9
1.0
5.6098 0.0000 0.0000
2.8049 4.8582 0.0000
2.8049 1.6194 8.9053
Al Pu Sr
9 2 1
Cartesian
5.6098 3.2388 0.0458
4.1793 4.0647 6.6507
5.6098 1.5870 6.6507
7.0403 2.4129 2.2545
5.6098 3.2388 4.4526
4.1793 2.4129 2.2545
5.6098 4.8906 2.2545
7.0403 4.0647 6.6507
5.6098 3.2388 8.8595
2.8049 1.6194 5.0459
8.4147 4.8582 3.8594
0.0000 0.0000 0.0000
```

Number 1: energy relative to the elements -0.3155 eV/atom, total DFT energy (no corrections) -6.84 eV per atom, M_tot 5.34 μB/f.u.. Number 2: energy relative to the elements -0.0659 eV/atom, total DFT energy (no corrections) -6.59 eV per atom, M_tot 5.71 μB/f.u.. Number 3: energy relative to the elements -0.1513 eV/atom, total DFT energy (no corrections) -6.67 eV per atom, M_tot 5.93 μB/f.u.. Number 4: energy relative to the elements -0.1034 eV/atom, total DFT energy (no corrections) -10.96 eV per atom, M_tot 35.88 μB/f.u.. Number 5: energy relative to the elements -0.3123 eV/atom, total DFT energy (no corrections) -6.99 eV per atom, M_tot 5.85 μB/f.u.. Number 6: energy relative to the elements -0.2451 eV/atom, total DFT energy (no corrections) -5.58 eV per atom, M_tot 11.65 μB/f.u..